# 1
Below is crystalline MgNiRu at its relaxed geometry, with properties calculated at the GGA-PBE level.

Calculated values
- Total magnetization: 0.61 μB/cell
- E above lowest polymorph: 77 meV/atom
- Density: 7.404 Mg/m³
- Energy of formation from the pure elements: 9 kJ/mol of formula units

```
data_MgNiRu
_cell_length_a 4.419
_cell_length_b 8.507
_cell_length_c 4.397
_cell_angle_alpha 90.00
_cell_angle_beta 92.61
_cell_angle_gamma 90.00
_space_group_name_H-M_alt 'C 1 2/m 1'
_space_group_IT_number 12
_space_group_name_Hall '-C 2y'
loop_
_atom_site_label
_atom_site_fract_x
_atom_site_fract_y
_atom_site_fract_z
Mg1 0.000 0.160 0.000
Ni1 0.000 0.000 0.500
Ni2 0.000 0.500 0.000
Ru1 0.000 0.339 0.500
```

---

# 2
Below is crystalline ZrAg3Sb at its relaxed geometry, with properties calculated at the GGA-PBE level.

Calculated values
- Formation energy without anion corrections: 0.84 eV/atom
- Total magnetization: 1.66 μB/cell
- E above lowest polymorph: 0 meV/atom
- Density: 6.729 Mg/m³

```
data_ZrAg3Sb
_cell_length_a 5.097
_cell_length_b 5.097
_cell_length_c 5.097
_cell_angle_alpha 90.00
_cell_angle_beta 90.00
_cell_angle_gamma 90.00
_space_group_name_H-M_alt 'P m -3 m'
_space_group_IT_number 221
_space_group_name_Hall '-P 4 2 3'
loop_
_atom_site_label
_atom_site_fract_x
_atom_site_fract_y
_atom_site_fract_z
Zr1 0.000 0.000 0.000
Ag1 0.000 0.500 0.500
Sb1 0.500 0.500 0.500
```

---

# 3
Below is crystalline TaSb2AuI at its relaxed geometry, with properties calculated at the GGA-PBE level.

Calculated values
- Formation energy without anion corrections: 1.33 eV/atom
- Total magnetization: 2.09 μB/cell
- E above lowest polymorph: 714 meV/atom
- Density: 8.093 Mg/m³

```
data_TaSb2AuI
_cell_length_a 5.325
_cell_length_b 5.325
_cell_length_c 5.415
_cell_angle_alpha 90.00
_cell_angle_beta 90.00
_cell_angle_gamma 90.00
_space_group_name_H-M_alt 'P 4/m m m'
_space_group_IT_number 123
_space_group_name_Hall '-P 4 2'
loop_
_atom_site_label
_atom_site_fract_x
_atom_site_fract_y
_atom_site_fract_z
Ta1 0.000 0.000 0.000
Sb1 0.000 0.500 0.500
Au1 0.500 0.500 0.500
I1 0.500 0.500 0.000
```